# 1
The following is a DFT calculation (PBE) of KBaI2 after structural relaxation.

Cell: 8.1299 8.1299 15.6918 Å, 90.00 90.00 90.00°
Space group I-42d (No. 122)
Inequivalent atoms, fractional coordinates:
K 0.0000 0.0000 0.0000 (multiplicity 4)
Ba 0.0000 0.0000 0.5000 (multiplicity 4)
I 0.2448 0.2500 0.6250 (multiplicity 8)

Values from the calculation:
spin magnetization: 0.187 μB per atom
E_form (uncorrected): -113 kJ/mol of atoms
relative energy among the computed polymorphs: 0.169 eV/atom
V: 64.8 Å³ per atom



# 2
The following is a DFT calculation (PBE) of KBa2I after structural relaxation.

Cell: 4.4720 4.4720 41.3763 Å, 90.00 90.00 120.00°
Space group R-3m (No. 166, hexagonal axes)
Inequivalent atoms, fractional coordinates:
K 0.0000 0.0000 0.0000 (multiplicity 3)
Ba 0.0000 0.0000 0.1047 (multiplicity 6)
I 0.0000 0.0000 0.5000 (multiplicity 3)

Values from the calculation:
spin magnetization: 0.002 μB per atom
E_form (uncorrected): -51 kJ/mol of atoms
relative energy among the computed polymorphs: 0.048 eV/atom
V: 59.7 Å³ per atom